[1]
VASP calculation (meta-GGA SCAN) on a PBEsol-optimized structure of ScPbS3.

abc: 4.874 4.874 4.874
angles: 90.00 90.00 90.00
Fractional coordinates of all 5 atoms:
Sc: 0.000 0.000 0.000
Pb: 0.500 0.500 0.500
S: 0.000 0.000 0.500
S: 0.000 0.500 0.000
S: 0.500 0.000 0.000

Results
Space group = Pm-3m (221)
Size of the total moment = 0.00 Bohr magnetons per cell
Energy relative to the elements, uncorrected = -0.920 eV/atom

***

[2]
VASP calculation (meta-GGA SCAN) on a PBEsol-optimized structure of Sn3PbS.

abc: 5.676 5.676 5.676
angles: 90.00 90.00 90.00
Fractional coordinates of all 5 atoms:
Sn: 0.000 0.000 0.500
Sn: 0.000 0.500 0.000
Sn: 0.500 0.000 0.000
Pb: 0.000 0.000 0.000
S: 0.500 0.500 0.500

Results
Space group = Pm-3m (221)
Size of the total moment = 0.00 Bohr magnetons per cell
Energy relative to the elements, uncorrected = 0.963 eV/atom